(1)
Here is Y2CuBi after structural relaxation from OQMD via LeMat-Bulk. Energies are from PBE.

Properties
Final energy (eV for the cell shown): -20.090

Cell: 5.2785 5.2785 5.2785 Å, 60.00 60.00 60.00°
With the nearest neighbours (Å) after each atom.
Fractional coordinates of all 4 atoms:
Y (0.0000, 0.0000, 0.0000)  4 Cu 3.23, 4 Y 3.23
Y (0.2500, 0.2500, 0.2500)  4 Bi 3.23, 4 Y 3.23
Cu (0.7500, 0.7500, 0.7500)  4 Bi 3.23, 4 Y 3.23
Bi (0.5000, 0.5000, 0.5000)  4 Y 3.23, 4 Cu 3.23

=====

(2)
Here is KPrGaTe3 after structural relaxation from OQMD via LeMat-Bulk. Energies are from PBE.

Properties
Final energy (eV for the cell shown): -48.139

Cell: 7.9415 7.9415 12.1460 Å, 90.00 90.00 144.22°
With the nearest neighbours (Å) after each atom.
Fractional coordinates of all 12 atoms:
K (0.2482, 0.7518, 0.7500)  6 Te 3.70-3.72, 1 Ga 4.12
K (0.7518, 0.2482, 0.2500)  6 Te 3.70-3.72, 1 Ga 4.12
Pr (0.0000, 0.0000, 0.0000)  6 Te 3.21-3.27
Pr (0.0000, 0.0000, 0.5000)  6 Te 3.21-3.27
Ga (0.4792, 0.5208, 0.2500)  4 Te 2.77-2.79
Ga (0.5208, 0.4792, 0.7500)  4 Te 2.77-2.79
Te (0.0681, 0.9319, 0.2500)  2 Ga 2.79
Te (0.3674, 0.6326, 0.0692)  1 Ga 2.77
Te (0.3674, 0.6326, 0.4308)  1 Ga 2.77
Te (0.6326, 0.3674, 0.5692)  1 Ga 2.77
Te (0.6326, 0.3674, 0.9308)  1 Ga 2.77
Te (0.9319, 0.0681, 0.7500)  2 Ga 2.79

=====

(3)
Here is YUCu after structural relaxation from OQMD via LeMat-Bulk. Energies are from PBE.

Properties
Energy relative to the elements (meV/atom): 680
Final energy (eV for the cell shown): -19.440
Polymorph energy (0 for the lowest one) (meV per atom): 0.0

Cell: 4.6915 4.6915 4.6915 Å, 60.00 60.00 60.00°
With the nearest neighbours (Å) after each atom.
Fractional coordinates of all 3 atoms:
Y (0.0000, 0.0000, 0.0000)  4 Cu 2.87
U (0.5000, 0.5000, 0.5000)  4 Cu 2.87
Cu (0.7500, 0.7500, 0.7500)  4 U 2.87, 4 Y 2.87

=====

(4)
Here is Ba2CdS3 after structural relaxation from OQMD via LeMat-Bulk. Energies are from PBE.

Properties
Final energy (eV for the cell shown): -107.166

Cell: 9.0158 4.3789 17.4040 Å, 90.00 90.00 90.00°
With the nearest neighbours (Å) after each atom.
Fractional coordinates of all 24 atoms:
Ba (0.0797, 0.2500, 0.2152)  7 S 3.23-3.34
Ba (0.2345, 0.2500, 0.9577)  7 S 3.13-3.50
Ba (0.2655, 0.7500, 0.4577)  7 S 3.13-3.50
Ba (0.4203, 0.7500, 0.7152)  7 S 3.23-3.34
Ba (0.5797, 0.2500, 0.2848)  7 S 3.23-3.34
Ba (0.7345, 0.2500, 0.5423)  7 S 3.13-3.50
Ba (0.7655, 0.7500, 0.0423)  7 S 3.13-3.50
Ba (0.9203, 0.7500, 0.7848)  7 S 3.23-3.34
Cd (0.1210, 0.2500, 0.6308)  4 S 2.54-2.59
Cd (0.3790, 0.7500, 0.1308)  4 S 2.54-2.59
Cd (0.6210, 0.2500, 0.8692)  4 S 2.54-2.59
Cd (0.8790, 0.7500, 0.3692)  4 S 2.54-2.59
S (0.0169, 0.2500, 0.4040)  2 Cd 2.59
S (0.1206, 0.7500, 0.0720)  1 Cd 2.54
S (0.1825, 0.2500, 0.7750)  1 Cd 2.57
S (0.3175, 0.7500, 0.2750)  1 Cd 2.57
S (0.3794, 0.2500, 0.5720)  1 Cd 2.54
S (0.4831, 0.7500, 0.9040)  2 Cd 2.59
S (0.5169, 0.2500, 0.0960)  2 Cd 2.59
S (0.6206, 0.7500, 0.4280)  1 Cd 2.54
S (0.6825, 0.2500, 0.7250)  1 Cd 2.57
S (0.8175, 0.7500, 0.2250)  1 Cd 2.57
S (0.8794, 0.2500, 0.9280)  1 Cd 2.54
S (0.9831, 0.7500, 0.5960)  2 Cd 2.59

=====

(5)
Here is NaZrTlNi after structural relaxation from OQMD via LeMat-Bulk. Energies are from PBE.

Properties
Final energy (eV for the cell shown): -16.986
Polymorph energy (0 for the lowest one) (meV per atom): 93.1

Cell: 4.8226 4.8226 4.8226 Å, 60.00 60.00 60.00°
With the nearest neighbours (Å) after each atom.
Fractional coordinates of all 4 atoms:
Na (0.0000, 0.0000, 0.0000)  4 Ni 2.95, 4 Tl 2.95
Zr (0.5000, 0.5000, 0.5000)  4 Tl 2.95, 4 Ni 2.95
Tl (0.2500, 0.2500, 0.2500)  4 Zr 2.95, 4 Na 2.95
Ni (0.7500, 0.7500, 0.7500)  4 Na 2.95, 4 Zr 2.95

=====

(6)
Here is PmZn6Au4 after structural relaxation from OQMD via LeMat-Bulk. Energies are from PBE.

Properties
Energy relative to the elements (meV/atom): -370
Final energy (eV for the cell shown): -29.468

Cell: 7.4609 7.4609 4.1735 Å, 90.00 90.00 120.00°
With the nearest neighbours (Å) after each atom.
Fractional coordinates of all 11 atoms:
Pm (0.0000, 0.0000, 0.0000)  6 Au 3.26, 6 Zn 3.38
Zn (0.2055, 0.4111, 0.5000)  4 Au 2.59-2.66, 2 Zn 2.86
Zn (0.2055, 0.7945, 0.5000)  4 Au 2.59-2.66, 2 Zn 2.86
Zn (0.5384, 0.0767, 0.0000)  5 Au 2.65-2.71, 2 Zn 2.87
Zn (0.5384, 0.4616, 0.0000)  5 Au 2.65-2.71, 2 Zn 2.87
Zn (0.5889, 0.7945, 0.5000)  4 Au 2.59-2.66, 2 Zn 2.86
Zn (0.9233, 0.4616, 0.0000)  5 Au 2.65-2.71, 2 Zn 2.87
Au (0.3333, 0.6667, 0.0000)  9 Zn 2.65-2.66
Au (0.3885, 0.1943, 0.5000)  6 Zn 2.59-2.71
Au (0.8057, 0.1943, 0.5000)  6 Zn 2.59-2.71
Au (0.8057, 0.6115, 0.5000)  6 Zn 2.59-2.71

=====

> Look up the final energy of the fifth one.

-16.986 eV for the cell shown

=====

> Look up the final energy of the first one.

-20.090 eV for the cell shown

=====

> Look up the final energy of the sixth one.

-29.468 eV for the cell shown